Below is a relaxed structure of K12H5O3, with properties calculated at the PBE-GGA level.

It has space group Ia-3d (No. 230), with a = 16.0320 Å, b = 16.0320 Å, c = 16.0320 Å, α = 90.00°, β = 90.00° and γ = 90.00°. The inequivalent atoms are K at (0.0186, 0.0677, 0.6576), H at (0.0000, 0.0000, 0.0000), H at (0.0000, 0.2500, 0.3750) and O at (0.0000, 0.2500, 0.1250).

Its total energy is -425.31 eV per cell.